First-principles (PBE-GGA) data for an optimized crystal structure of ScMn3N3, as listed in Alexandria via LeMat-Bulk.

CIF file:
```
data_ScMn3N3
_symmetry_space_group_name_H-M 'C m c m'
_symmetry_Int_Tables_number 63
_symmetry_space_group_name_Hall '-C 2c 2'
_cell_length_a 7.375
_cell_length_b 12.802
_cell_length_c 3.788
_cell_angle_alpha 90.00
_cell_angle_beta 90.00
_cell_angle_gamma 90.00
loop_
_atom_site_label
_atom_site_type_symbol
_atom_site_fract_x
_atom_site_fract_y
_atom_site_fract_z
Sc1 Sc 0.000 0.167 0.250
Mn1 Mn 0.000 0.368 0.750
Mn2 Mn 0.198 0.434 0.250
N1 N 0.000 0.330 0.250
N2 N 0.244 0.085 0.250
```

Results
The calculation puts the formation energy (no corrections) at -3.226 eV per formula unit. The calculation puts the total energy at -62.043 eV per formula unit.